Record 1
Crystalline ZrZnCuOs at its relaxed geometry. Source: OQMD via LeMat-Bulk, functional PBE-GGA.

SG = F-43m (216)
Distance to the lowest polymorph of the same formula = 144 meV per atom
Volume = 63.49 Å³ per cell
DFT formation energy = 73 meV per atom
Electronic total energy = -6.116 eV per atom

The structure in POSCAR format:
```
ZrZnCuOs
1.0
-3.6497 0.8177 2.4621
-4.0083 0.3082 -1.9722
-3.0520 -3.2181 0.6166
Cu Os Zn Zr
1 1 1 1
direct
0.7500 0.7500 0.7500 Cu
0.5000 0.5000 0.5000 Os
0.0000 0.0000 0.0000 Zn
0.2500 0.2500 0.2500 Zr
```


Record 2
Crystalline YCuSbAu at its relaxed geometry. Source: OQMD via LeMat-Bulk, functional PBE-GGA.

SG = F-43m (216)
Distance to the lowest polymorph of the same formula = 0 meV per atom
Volume = 83.60 Å³ per cell
Electronic total energy = -4.812 eV per atom

The structure in POSCAR format:
```
YCuSbAu
1.0
0.0000 3.4706 3.4706
3.4706 0.0000 3.4706
3.4706 3.4706 0.0000
Au Cu Sb Y
1 1 1 1
direct
0.2500 0.2500 0.2500 Au
0.7500 0.7500 0.7500 Cu
0.0000 0.0000 0.0000 Sb
0.5000 0.5000 0.5000 Y
```


Record 3
Crystalline SrHoPu at its relaxed geometry. Source: OQMD via LeMat-Bulk, functional PBE-GGA.

SG = F-43m (216)
Distance to the lowest polymorph of the same formula = 0 meV per atom
Volume = 131.16 Å³ per cell
Electronic total energy = -5.871 eV per atom

The structure in POSCAR format:
```
SrHoPu
1.0
0.3641 -3.6070 4.4024
-2.8824 -4.9200 -0.0987
2.8002 -4.9342 -0.5804
Ho Pu Sr
1 1 1
direct
0.0000 0.0000 0.0000 Ho
0.2500 0.2500 0.2500 Pu
0.7500 0.7500 0.7500 Sr
```


Record 4
Crystalline ErLu2Cu4Si4 at its relaxed geometry. Source: OQMD via LeMat-Bulk, functional PBE-GGA.

SG = Immm (71)
Volume = 178.32 Å³ per cell
Electronic total energy = -5.196 eV per atom

The structure in POSCAR format:
```
ErLu2Cu4Si4
1.0
2.7773 -5.0589 5.1830
0.9912 2.0638 7.4113
-4.7028 -1.0960 -6.0705
Cu Er Lu Si
4 1 2 4
direct
0.5228 0.3305 0.1923 Cu
0.8618 0.6695 0.1923 Cu
0.1382 0.3305 0.8077 Cu
0.4772 0.6695 0.8077 Cu
0.5000 0.0000 0.5000 Er
0.1286 0.1286 0.0000 Lu
0.8714 0.8714 0.0000 Lu
0.8151 0.5000 0.3151 Si
0.7171 0.2171 0.5000 Si
0.2829 0.7829 0.5000 Si
0.1849 0.5000 0.6849 Si
```


Record 5
Crystalline ErPaAl at its relaxed geometry. Source: OQMD via LeMat-Bulk, functional PBE-GGA.

SG = F-43m (216)
Distance to the lowest polymorph of the same formula = 397 meV per atom
Volume = 82.68 Å³ per cell
Electronic total energy = -5.589 eV per atom

The structure in POSCAR format:
```
ErPaAl
1.0
2.1123 -1.4414 4.1680
3.0095 3.0242 2.3891
-1.3870 1.9731 4.2537
Al Er Pa
1 1 1
direct
0.0000 0.0000 0.0000 Al
0.2500 0.2500 0.2500 Er
0.7500 0.7500 0.7500 Pa
```


Record 6
Crystalline HfTaBe2 at its relaxed geometry. Source: OQMD via LeMat-Bulk, functional PBE-GGA.

SG = F-43m (216)
Volume = 60.81 Å³ per cell
Electronic total energy = -6.671 eV per atom

The structure in POSCAR format:
```
HfTaBe2
1.0
0.0000 3.1211 3.1211
3.1211 0.0000 3.1211
3.1211 3.1211 0.0000
Be Hf Ta
2 1 1
direct
0.0000 0.0000 0.0000 Be
0.2500 0.2500 0.2500 Be
0.5000 0.5000 0.5000 Hf
0.7500 0.7500 0.7500 Ta
```